Record 1
Below is Rb2U3CuSe8 after structural relaxation, with properties calculated at the GGA-PBE level.

Values from the calculation:
Energy relative to the elements, uncorrected, eV/atom: -1.05
VASP energy, eV/atom: -5.90
Calculated density, g/cm³: 5.17
Crystal system: trigonal

a = 8.2870 Å, b = 8.2870 Å, c = 9.7824 Å
α = 64.94°, β = 64.94°, γ = 60.00°
Closest atoms and distances in Å follow each position.
Positions (direct):
Rb 0.1351 0.1351 0.5947  4 Se 3.33-3.36
Rb 0.4936 0.4936 0.5193  6 Se 3.51-3.59
U 0.4932 0.9936 0.0199  6 Se 2.77-2.85
U 0.9936 0.4932 0.0199  6 Se 2.77-2.85
U 0.4932 0.4932 0.0199  6 Se 2.77-2.85
Cu 0.9404 0.9404 0.1788  3 Se 2.42
Se 0.2662 0.2662 0.2014  3 U 2.85
Se 0.7198 0.7198 0.8407  3 U 2.84
Se 0.2334 0.2334 0.8400  2 U 2.77
Se 0.6932 0.2334 0.8400  2 U 2.77
Se 0.2334 0.6932 0.8400  2 U 2.77
Se 0.7642 0.2691 0.2024  1 Cu 2.42
Se 0.2691 0.7642 0.2024  1 Cu 2.42
Se 0.7642 0.7642 0.2024  1 Cu 2.42

=====

Record 2
Below is CaAlCrMo2 after structural relaxation, with properties calculated at the GGA-PBE level.

Values from the calculation:
VASP energy, eV/atom: -4.97
Calculated density, g/cm³: 5.62
Formation energy, eV per atom: 2.4367
Crystal system: tetragonal

a = 4.6594 Å, b = 4.2347 Å, c = 4.6594 Å
α = 90.00°, β = 90.00°, γ = 90.00°
Closest atoms and distances in Å follow each position.
Positions (direct):
Cr 0.0000 0.5000 0.0000  2 Ca 2.12
Mo 0.0000 0.0000 0.5000  2 Ca 2.33
Mo 0.5000 0.0000 0.0000  2 Ca 2.33
Ca 0.0000 0.0000 0.0000  2 Cr 2.12, 4 Mo 2.33
Al 0.5000 0.5000 0.5000  8 Mo 3.15, 4 Cr 3.29

=====

Record 3
Below is LaCdB after structural relaxation, with properties calculated at the GGA-PBE level.

Values from the calculation:
Energy above the lowest structure with this stoichiometry, meV/atom: 637
VASP energy, eV/atom: -3.89
Calculated density, g/cm³: 6.46
Formation energy, eV per atom: 0.2877
Crystal system: orthorhombic

a = 6.1256 Å, b = 3.6447 Å, c = 12.0752 Å
α = 90.00°, β = 90.00°, γ = 90.00°
Closest atoms and distances in Å follow each position.
Positions (direct):
B 0.9839 0.2500 0.6462  3 Cd 2.46-2.52, 2 La 2.74
B 0.5161 0.7500 0.1462  3 Cd 2.46-2.52, 2 La 2.74
B 0.0161 0.7500 0.3538  3 Cd 2.46-2.52, 2 La 2.74
B 0.4839 0.2500 0.8538  3 Cd 2.46-2.52, 2 La 2.74
Cd 0.8296 0.2500 0.4527  3 B 2.46-2.52
Cd 0.6704 0.7500 0.9527  3 B 2.46-2.52
Cd 0.1704 0.7500 0.5473  3 B 2.46-2.52
Cd 0.3296 0.2500 0.0473  3 B 2.46-2.52
La 0.3440 0.2500 0.3211  4 B 2.74-2.98
La 0.1560 0.7500 0.8211  4 B 2.74-2.98
La 0.6560 0.7500 0.6789  4 B 2.74-2.98
La 0.8440 0.2500 0.1789  4 B 2.74-2.98

=====

Record 4
Below is Dy2InHg after structural relaxation, with properties calculated at the GGA-PBE level.

Values from the calculation:
VASP energy, eV/atom: -3.41
Calculated density, g/cm³: 9.41
Formation energy, eV per atom: -0.3446
Crystal system: trigonal

a = 3.7210 Å, b = 3.7210 Å, c = 9.6708 Å
α = 78.91°, β = 78.91°, γ = 60.00°
Closest atoms and distances in Å follow each position.
Positions (direct):
In 0.5000 0.5000 0.5000  6 Dy 3.22
Hg 0.0000 0.0000 0.0000  6 Dy 3.16
Dy 0.2515 0.2515 0.2454  3 Hg 3.16, 3 In 3.22
Dy 0.7485 0.7485 0.7546  3 Hg 3.16, 3 In 3.22

=====

Record 5
Below is Na2PmDyS4 after structural relaxation, with properties calculated at the GGA-PBE level.

Values from the calculation:
Energy relative to the elements, uncorrected, eV/atom: -1.83
VASP energy, eV/atom: -5.39
Calculated density, g/cm³: 4.22
Crystal system: monoclinic

a = 4.0434 Å, b = 7.0041 Å, c = 7.0822 Å
α = 109.21°, β = 90.00°, γ = 90.00°
Closest atoms and distances in Å follow each position.
Positions (direct):
Na 0.5000 0.0000 0.5000  6 S 2.93
Na 0.0000 0.5000 0.5000  6 S 2.98
Pm 0.5000 0.5000 0.0000  6 S 2.82
Dy 0.0000 0.0000 0.0000  6 S 2.76-2.77
S 0.5000 0.2366 0.2277  2 Dy 2.77, 1 Pm 2.82, 3 Na 2.93-2.98
S 0.5000 0.7634 0.7723  2 Dy 2.77, 1 Pm 2.82, 3 Na 2.93-2.98
S 0.0000 0.2506 0.7694  1 Dy 2.76, 2 Pm 2.82, 3 Na 2.93-2.98
S 0.0000 0.7494 0.2306  1 Dy 2.76, 2 Pm 2.82, 3 Na 2.93-2.98

=====

Record 6
Below is HfH2Cl after structural relaxation, with properties calculated at the GGA-PBE level.

Values from the calculation:
Energy above the lowest structure with this stoichiometry, meV/atom: 492
VASP energy, eV/atom: -4.43
Calculated density, g/cm³: 8.39
Crystal system: cubic

a = 3.9250 Å, b = 3.9250 Å, c = 3.9250 Å
α = 60.00°, β = 60.00°, γ = 60.00°
Closest atoms and distances in Å follow each position.
Positions (direct):
H 0.2500 0.2500 0.2500  4 Hf 2.40, 4 Cl 2.40
H 0.7500 0.7500 0.7500  4 Hf 2.40, 4 Cl 2.40
Hf 0.5000 0.5000 0.5000  8 H 2.40
Cl 0.0000 0.0000 0.0000  8 H 2.40

=====

Record 7
Below is BaMgPH2 after structural relaxation, with properties calculated at the GGA-PBE level.

Values from the calculation:
VASP energy, eV/atom: -3.58
Calculated density, g/cm³: 3.69
Crystal system: orthorhombic

a = 4.3520 Å, b = 6.4357 Å, c = 6.6423 Å
α = 90.00°, β = 90.00°, γ = 109.76°
Closest atoms and distances in Å follow each position.
Positions (direct):
Ba 0.7199 0.4398 0.7500  6 H 2.56-2.64
Ba 0.2801 0.5602 0.2500  6 H 2.56-2.64
Mg 0.0000 0.0000 0.0000  2 H 1.91
Mg 0.0000 0.0000 0.5000  2 H 1.91
P 0.4520 0.9039 0.7500  4 Mg 2.80
P 0.5480 0.0961 0.2500  4 Mg 2.80
H 0.1542 0.3084 0.9399  1 Mg 1.91
H 0.8458 0.6916 0.0601  1 Mg 1.91
H 0.1542 0.3084 0.5601  1 Mg 1.91
H 0.8458 0.6916 0.4399  1 Mg 1.91

=====

Record 8
Below is KSrAs2 after structural relaxation, with properties calculated at the GGA-PBE level.

Values from the calculation:
Energy above the lowest structure with this stoichiometry, meV/atom: 63
VASP energy, eV/atom: -3.66
Calculated density, g/cm³: 3.70
Formation energy, eV per atom: -0.6427
Crystal system: orthorhombic

a = 4.5505 Å, b = 4.8327 Å, c = 6.1369 Å
α = 66.81°, β = 90.00°, γ = 90.00°
Closest atoms and distances in Å follow each position.
Positions (direct):
As 0.0000 0.1923 0.9905  2 As 2.66
As 0.5000 0.0708 0.2334  2 As 2.66
K 0.0000 0.4846 0.4058  7 As 3.30-3.46
Sr 0.5000 0.7524 0.8703  6 As 3.17-3.39

=====

Record 9
Below is Ag5BiO5 after structural relaxation, with properties calculated at the GGA-PBE level.

Values from the calculation:
Energy relative to the elements, uncorrected, eV/atom: -0.28
VASP energy, eV/atom: -4.18
Calculated density, g/cm³: 8.23
Crystal system: monoclinic

a = 4.5202 Å, b = 6.0306 Å, c = 7.1282 Å
α = 110.33°, β = 90.00°, γ = 112.01°
Closest atoms and distances in Å follow each position.
Positions (direct):
Ag 0.6560 0.3120 0.3798  4 O 2.38-2.61
Ag 0.6478 0.2955 0.8031  4 O 2.28-2.54
Ag 0.0000 0.0000 0.5000  2 O 2.17
Ag 0.3522 0.7045 0.1969  4 O 2.28-2.54
Ag 0.3440 0.6880 0.6202  4 O 2.38-2.61
Bi 0.0000 0.0000 0.0000  6 O 2.22-2.26
O 0.8741 0.7482 0.1828  3 Ag 2.17-2.28, 1 Bi 2.25
O 0.8291 0.6581 0.7130  1 Bi 2.22, 4 Ag 2.34-2.44
O 0.5000 0.0000 0.0000  2 Bi 2.26
O 0.1709 0.3419 0.2870  1 Bi 2.22, 4 Ag 2.34-2.44
O 0.1259 0.2518 0.8172  3 Ag 2.17-2.28, 1 Bi 2.25

=====

Record 10
Below is Tb3Zn after structural relaxation, with properties calculated at the GGA-PBE level.

Values from the calculation:
VASP energy, eV/atom: -3.82
Calculated density, g/cm³: 8.39
Formation energy, eV per atom: -0.0312
Crystal system: cubic

a = 4.7525 Å, b = 4.7525 Å, c = 4.7525 Å
α = 90.00°, β = 90.00°, γ = 90.00°
Closest atoms and distances in Å follow each position.
Positions (direct):
Tb 0.0000 0.5000 0.5000  8 Tb 3.36, 4 Zn 3.36
Tb 0.5000 0.0000 0.5000  8 Tb 3.36, 4 Zn 3.36
Tb 0.5000 0.5000 0.0000  8 Tb 3.36, 4 Zn 3.36
Zn 0.0000 0.0000 0.0000  12 Tb 3.36

=====

Record 11
Below is PmPr3Tm7 after structural relaxation, with properties calculated at the GGA-PBE level.

Values from the calculation:
Energy above the lowest structure with this stoichiometry, meV/atom: 57
VASP energy, eV/atom: -4.40
Calculated density, g/cm³: 7.80
Formation energy, eV per atom: 0.1780
Crystal system: trigonal

a = 8.6957 Å, b = 7.0357 Å, c = 7.0357 Å
α = 120.00°, β = 90.00°, γ = 90.00°
Closest atoms and distances in Å follow each position.
Positions (direct):
Pm 0.4438 0.3333 0.6667  9 Tm 3.46-3.52, 3 Pr 3.59
Pr 0.7844 0.5004 0.4996  4 Pr 3.51-3.53, 5 Tm 3.57-3.59, 1 Pm 3.59
Pr 0.7844 0.5004 0.0008  4 Pr 3.51-3.53, 5 Tm 3.57-3.59, 1 Pm 3.59
Pr 0.7844 0.9992 0.4996  4 Pr 3.51-3.53, 5 Tm 3.57-3.59, 1 Pm 3.59
Tm 0.1219 0.1669 0.8331  8 Tm 3.45-3.52, 1 Pm 3.46, 2 Pr 3.57
Tm 0.1219 0.1669 0.3337  8 Tm 3.45-3.52, 1 Pm 3.46, 2 Pr 3.57
Tm 0.1237 0.6667 0.3333  9 Tm 3.43-3.52, 3 Pr 3.58
Tm 0.4429 0.8327 0.1673  7 Tm 3.43-3.53, 2 Pm 3.52, 2 Pr 3.59
Tm 0.4429 0.3347 0.1673  7 Tm 3.43-3.53, 2 Pm 3.52, 2 Pr 3.59
Tm 0.4429 0.8327 0.6653  7 Tm 3.43-3.53, 2 Pm 3.52, 2 Pr 3.59
Tm 0.1219 0.6663 0.8331  8 Tm 3.45-3.52, 1 Pm 3.46, 2 Pr 3.57

=====

Record 12
Below is SrLiH3 after structural relaxation, with properties calculated at the GGA-PBE level.

Values from the calculation:
Energy above the lowest structure with this stoichiometry, meV/atom: 316
VASP energy, eV/atom: -2.94
Calculated density, g/cm³: 2.39
Crystal system: tetragonal

a = 4.6003 Å, b = 4.6003 Å, c = 7.1974 Å
α = 71.36°, β = 71.36°, γ = 90.00°
Closest atoms and distances in Å follow each position.
Positions (direct):
Sr 0.6092 0.1092 0.7815  8 H 2.63-2.67, 2 Li 2.69
Sr 0.8908 0.3908 0.2185  8 H 2.63-2.67, 2 Li 2.69
H 0.1857 0.9183 0.1633  1 Li 1.62
H 0.0817 0.8143 0.8367  1 Li 1.62
H 0.0817 0.3490 0.8367  1 Li 1.62
H 0.6510 0.9183 0.1633  1 Li 1.62
H 0.2848 0.2848 0.4305  2 Li 2.34
H 0.7152 0.7152 0.5695  2 Li 2.34
Li 0.0000 0.0000 0.0000  4 H 1.62
Li 0.2500 0.7500 0.5000  8 H 2.34-2.41

=====

Please write out number 1 again, unchanged.
Below is Rb2U3CuSe8 after structural relaxation, with properties calculated at the GGA-PBE level.

Values from the calculation:
Energy relative to the elements, uncorrected, eV/atom: -1.05
VASP energy, eV/atom: -5.90
Calculated density, g/cm³: 5.17
Crystal system: trigonal

a = 8.2870 Å, b = 8.2870 Å, c = 9.7824 Å
α = 64.94°, β = 64.94°, γ = 60.00°
Closest atoms and distances in Å follow each position.
Positions (direct):
Rb 0.1351 0.1351 0.5947  4 Se 3.33-3.36
Rb 0.4936 0.4936 0.5193  6 Se 3.51-3.59
U 0.4932 0.9936 0.0199  6 Se 2.77-2.85
U 0.9936 0.4932 0.0199  6 Se 2.77-2.85
U 0.4932 0.4932 0.0199  6 Se 2.77-2.85
Cu 0.9404 0.9404 0.1788  3 Se 2.42
Se 0.2662 0.2662 0.2014  3 U 2.85
Se 0.7198 0.7198 0.8407  3 U 2.84
Se 0.2334 0.2334 0.8400  2 U 2.77
Se 0.6932 0.2334 0.8400  2 U 2.77
Se 0.2334 0.6932 0.8400  2 U 2.77
Se 0.7642 0.2691 0.2024  1 Cu 2.42
Se 0.2691 0.7642 0.2024  1 Cu 2.42
Se 0.7642 0.7642 0.2024  1 Cu 2.42

=====

Q: Which of these has the highest calculated density?
A: Dy2InHg